Record 1
Material: Cr3PC
Method: DFT, GGA-PBEsol
State: relaxed

Cell and atoms, written as CIF:
```
data_Cr3PC
_cell_length_a 2.850
_cell_length_b 9.823
_cell_length_c 7.260
_cell_angle_alpha 90.00
_cell_angle_beta 90.00
_cell_angle_gamma 90.00
_space_group_name_H-M_alt 'C m c m'
_space_group_IT_number 63
_space_group_name_Hall '-C 2c 2'
loop_
_atom_site_label
_atom_site_type_symbol
_atom_site_fract_x
_atom_site_fract_y
_atom_site_fract_z
Cr1 Cr 0.000 0.051 0.250
Cr2 Cr 0.000 0.370 0.056
P1 P 0.000 0.262 0.750
C1 C 0.000 0.000 0.000
```

Results
Formation energy from the elements: -1.6 eV per formula unit
N(E_F): 21.6 states/eV/cell
ρ: 6.50 g/cm3

---

Record 2
Material: CrPCS2
Method: DFT, GGA-PBEsol
State: relaxed

Cell and atoms, written as CIF:
```
data_CrPCS2
_cell_length_a 4.283
_cell_length_b 4.283
_cell_length_c 4.496
_cell_angle_alpha 90.00
_cell_angle_beta 90.00
_cell_angle_gamma 90.00
_space_group_name_H-M_alt 'P 4/m m m'
_space_group_IT_number 123
_space_group_name_Hall '-P 4 2'
loop_
_atom_site_label
_atom_site_type_symbol
_atom_site_fract_x
_atom_site_fract_y
_atom_site_fract_z
Cr1 Cr 0.000 0.000 0.000
P1 P 0.000 0.000 0.500
C1 C 0.500 0.500 0.500
S1 S 0.000 0.500 0.000
```

Results
E_form (uncorrected): 1518 meV per atom
N(E_F): 3.5 states/eV/cell
ρ: 3.20 g/cm3

---

Record 3
Material: CrPdC2
Method: DFT, GGA-PBEsol
State: relaxed

Cell and atoms, written as CIF:
```
data_CrPdC2
_cell_length_a 5.217
_cell_length_b 5.217
_cell_length_c 5.217
_cell_angle_alpha 90.00
_cell_angle_beta 90.00
_cell_angle_gamma 90.00
_space_group_name_H-M_alt 'F m -3 m'
_space_group_IT_number 225
_space_group_name_Hall '-F 4 2 3'
loop_
_atom_site_label
_atom_site_type_symbol
_atom_site_fract_x
_atom_site_fract_y
_atom_site_fract_z
Cr1 Cr 0.000 0.000 0.000
Pd1 Pd 0.000 0.000 0.500
C1 C 0.250 0.250 0.250
```

Results
Formation energy from the elements: 5.0 eV per formula unit
N(E_F): 6.3 states/eV/cell
ρ: 8.53 g/cm3

---

Record 4
Material: PrCr2Si2C
Method: DFT, GGA-PBEsol
State: relaxed

Cell and atoms, written as CIF:
```
data_PrCr2Si2C
_cell_length_a 3.955
_cell_length_b 3.955
_cell_length_c 5.343
_cell_angle_alpha 90.00
_cell_angle_beta 90.00
_cell_angle_gamma 90.00
_space_group_name_H-M_alt 'P 4/m m m'
_space_group_IT_number 123
_space_group_name_Hall '-P 4 2'
loop_
_atom_site_label
_atom_site_type_symbol
_atom_site_fract_x
_atom_site_fract_y
_atom_site_fract_z
Pr1 Pr 0.000 0.000 0.000
Cr1 Cr 0.000 0.500 0.500
Si1 Si 0.500 0.500 0.235
C1 C 0.000 0.000 0.500
```

Results
E_form (uncorrected): -488 meV per atom
N(E_F): 4.3 states/eV/cell
ρ: 6.22 g/cm3

---

Record 5
Material: CrReTe2C
Method: DFT, GGA-PBEsol
State: relaxed

Cell and atoms, written as CIF:
```
data_CrReTe2C
_cell_length_a 4.850
_cell_length_b 4.850
_cell_length_c 4.462
_cell_angle_alpha 90.00
_cell_angle_beta 90.00
_cell_angle_gamma 90.00
_space_group_name_H-M_alt 'P 4/m m m'
_space_group_IT_number 123
_space_group_name_Hall '-P 4 2'
loop_
_atom_site_label
_atom_site_type_symbol
_atom_site_fract_x
_atom_site_fract_y
_atom_site_fract_z
Cr1 Cr 0.000 0.000 0.000
Re1 Re 0.000 0.000 0.500
Te1 Te 0.000 0.500 0.000
C1 C 0.500 0.500 0.500
```

Results
E_form (uncorrected): 2401 meV per atom
N(E_F): 4.6 states/eV/cell
ρ: 8.00 g/cm3

---

Record 6
Material: CrRuC2
Method: DFT, GGA-PBEsol
State: relaxed

Cell and atoms, written as CIF:
```
data_CrRuC2
_cell_length_a 4.441
_cell_length_b 4.441
_cell_length_c 8.996
_cell_angle_alpha 90.00
_cell_angle_beta 90.00
_cell_angle_gamma 90.00
_space_group_name_H-M_alt 'I -4 2 d'
_space_group_IT_number 122
_space_group_name_Hall 'I -4 2bw'
loop_
_atom_site_label
_atom_site_type_symbol
_atom_site_fract_x
_atom_site_fract_y
_atom_site_fract_z
Cr1 Cr 0.000 0.000 0.000
Ru1 Ru 0.000 0.000 0.500
C1 C 0.246 0.250 0.125
```

Results
Formation energy from the elements: 2.1 eV per formula unit
N(E_F): 10.6 states/eV/cell
ρ: 6.63 g/cm3

---

Record 7
Material: TaCrRu2C
Method: DFT, GGA-PBEsol
State: relaxed

Cell and atoms, written as CIF:
```
data_TaCrRu2C
_cell_length_a 4.590
_cell_length_b 4.590
_cell_length_c 4.745
_cell_angle_alpha 90.00
_cell_angle_beta 90.00
_cell_angle_gamma 90.00
_space_group_name_H-M_alt 'P 4/m m m'
_space_group_IT_number 123
_space_group_name_Hall '-P 4 2'
loop_
_atom_site_label
_atom_site_type_symbol
_atom_site_fract_x
_atom_site_fract_y
_atom_site_fract_z
Ta1 Ta 0.000 0.000 0.000
Cr1 Cr 0.000 0.000 0.500
Ru1 Ru 0.000 0.500 0.000
C1 C 0.500 0.500 0.500
```

Results
Formation energy from the elements: 15.2 eV per formula unit
N(E_F): 6.0 states/eV/cell
ρ: 7.43 g/cm3

---

Record 8
Material: CrSbC2S
Method: DFT, GGA-PBEsol
State: relaxed

Cell and atoms, written as CIF:
```
data_CrSbC2S
_cell_length_a 3.844
_cell_length_b 3.844
_cell_length_c 4.539
_cell_angle_alpha 90.00
_cell_angle_beta 90.00
_cell_angle_gamma 90.00
_space_group_name_H-M_alt 'P 4/m m m'
_space_group_IT_number 123
_space_group_name_Hall '-P 4 2'
loop_
_atom_site_label
_atom_site_type_symbol
_atom_site_fract_x
_atom_site_fract_y
_atom_site_fract_z
Cr1 Cr 0.000 0.000 0.000
Sb1 Sb 0.500 0.500 0.000
C1 C 0.000 0.500 0.500
S1 S 0.000 0.000 0.500
```

Results
E_form (uncorrected): 1911 meV per atom
N(E_F): 3.9 states/eV/cell
ρ: 5.69 g/cm3

---

Record 9
Material: Ta6CrC3S6
Method: DFT, GGA-PBEsol
State: relaxed

Cell and atoms, written as CIF:
```
data_Ta6CrC3S6
_cell_length_a 5.672
_cell_length_b 9.824
_cell_length_c 8.591
_cell_angle_alpha 90.00
_cell_angle_beta 102.77
_cell_angle_gamma 90.00
_space_group_name_H-M_alt 'C 1 2/m 1'
_space_group_IT_number 12
_space_group_name_Hall '-C 2y'
loop_
_atom_site_label
_atom_site_type_symbol
_atom_site_fract_x
_atom_site_fract_y
_atom_site_fract_z
Ta1 Ta 0.121 0.000 0.366
Ta2 Ta 0.121 0.334 0.363
Cr1 Cr 0.000 0.000 0.000
C1 C 0.000 0.169 0.500
C2 C 0.000 0.500 0.500
S1 S 0.219 0.500 0.165
S2 S 0.223 0.168 0.166
```

Results
E_form (uncorrected): -956 meV per atom
N(E_F): 9.4 states/eV/cell
ρ: 9.72 g/cm3

---

Record 10
Material: CrSbTe2C
Method: DFT, GGA-PBEsol
State: relaxed

Cell and atoms, written as CIF:
```
data_CrSbTe2C
_cell_length_a 4.717
_cell_length_b 4.717
_cell_length_c 4.644
_cell_angle_alpha 90.00
_cell_angle_beta 90.00
_cell_angle_gamma 90.00
_space_group_name_H-M_alt 'P 4/m m m'
_space_group_IT_number 123
_space_group_name_Hall '-P 4 2'
loop_
_atom_site_label
_atom_site_type_symbol
_atom_site_fract_x
_atom_site_fract_y
_atom_site_fract_z
Cr1 Cr 0.000 0.000 0.000
Sb1 Sb 0.500 0.500 0.000
Te1 Te 0.000 0.500 0.500
C1 C 0.500 0.500 0.500
```

Results
E_form (uncorrected): 1116 meV per atom
N(E_F): 4.1 states/eV/cell
ρ: 7.09 g/cm3

---

Record 11
Material: ZrCr2SbC
Method: DFT, GGA-PBEsol
State: relaxed

Cell and atoms, written as CIF:
```
data_ZrCr2SbC
_cell_length_a 4.884
_cell_length_b 4.884
_cell_length_c 4.138
_cell_angle_alpha 90.00
_cell_angle_beta 90.00
_cell_angle_gamma 90.00
_space_group_name_H-M_alt 'P 4/m m m'
_space_group_IT_number 123
_space_group_name_Hall '-P 4 2'
loop_
_atom_site_label
_atom_site_type_symbol
_atom_site_fract_x
_atom_site_fract_y
_atom_site_fract_z
Zr1 Zr 0.000 0.000 0.000
Cr1 Cr 0.000 0.500 0.000
Sb1 Sb 0.500 0.500 0.500
C1 C 0.000 0.000 0.500
```

Results
E_form (uncorrected): 1785 meV per atom
N(E_F): 5.1 states/eV/cell
ρ: 5.54 g/cm3

---

Record 12
Material: Sc2CrTcC
Method: DFT, GGA-PBEsol
State: relaxed

Cell and atoms, written as CIF:
```
data_Sc2CrTcC
_cell_length_a 4.871
_cell_length_b 4.871
_cell_length_c 4.339
_cell_angle_alpha 90.00
_cell_angle_beta 90.00
_cell_angle_gamma 90.00
_space_group_name_H-M_alt 'P 4/m m m'
_space_group_IT_number 123
_space_group_name_Hall '-P 4 2'
loop_
_atom_site_label
_atom_site_type_symbol
_atom_site_fract_x
_atom_site_fract_y
_atom_site_fract_z
Sc1 Sc 0.000 0.500 0.000
Cr1 Cr 0.000 0.000 0.500
Tc1 Tc 0.000 0.000 0.000
C1 C 0.500 0.500 0.500
```

Results
Formation energy from the elements: 8.2 eV per formula unit
N(E_F): 3.2 states/eV/cell
ρ: 4.06 g/cm3